Record 1
This record from Alexandria describes Sm4TmIn after structural relaxation. The functional is PBE-GGA.

Unit cell a=4.082 b=4.082 c=11.347 alpha=90.00 beta=90.00 gamma=90.00
Space group P4/mmm (No. 123)
Symmetry-distinct sites (fractional):
Sm1 0.000 0.000 0.148 (multiplicity 2)
Sm2 0.500 0.500 0.336 (multiplicity 2)
Tm1 0.000 0.000 0.500 (multiplicity 1)
In1 0.500 0.500 0.000 (multiplicity 1)

Output
* mass density: 7.77 g/cm³
* total moment: 0.0 μB per formula unit
* formation energy from the elements: -0.079 eV/atom
* E_tot: -4.43 eV/atom
* energy above the lowest structure with this stoichiometry: 0 meV per atom

---

Record 2
This record from Alexandria describes SmTm2In after structural relaxation. The functional is PBE-GGA.

Unit cell a=7.676 b=7.676 c=7.676 alpha=90.00 beta=90.00 gamma=90.00
Space group Fm-3m (No. 225)
Symmetry-distinct sites (fractional):
Sm1 0.000 0.000 0.000 (multiplicity 4)
Tm1 0.250 0.250 0.250 (multiplicity 8)
In1 0.000 0.000 0.500 (multiplicity 4)

Output
* mass density: 8.86 g/cm³
* total moment: 1.3 μB per formula unit
* formation energy from the elements: -0.081 eV/atom
* E_tot: -4.18 eV/atom
* energy above the lowest structure with this stoichiometry: 178 meV per atom